DFT (PBE-GGA) results for a relaxed structure of TcNiMoSe2.

Computed properties:
Formation energy from raw total energies ... 122.9 kJ per mole of atoms
Density of states at the Fermi level ... 1.367 states/eV/atom
Final energy ... -5.516 eV/atom

Unit cell a=4.7908 b=4.7908 c=4.8437 alpha=90.00 beta=90.00 gamma=90.00
Closest atoms and distances in Å follow each position.
Space group P4/mmm (No. 123)
Symmetry-distinct sites (fractional):
Tc (0.0000, 0.0000, 0.0000)  4 Se 2.40, 2 Mo 2.42
Ni (0.5000, 0.5000, 0.5000)  4 Mo 3.39, 8 Se 3.41
Mo (0.0000, 0.0000, 0.5000)  2 Tc 2.42
Se (0.0000, 0.5000, 0.0000)  2 Tc 2.40


DFT (PBE-GGA) results for a relaxed structure of SiNi2Mo.

Computed properties:
Formation energy from raw total energies ... -18.9 kJ per mole of atoms
Density of states at the Fermi level ... 0.867 states/eV/atom
Final energy ... -7.150 eV/atom

Unit cell a=3.0618 b=4.0016 c=8.1292 alpha=90.00 beta=90.00 gamma=90.00
Closest atoms and distances in Å follow each position.
Space group Immm (No. 71)
Symmetry-distinct sites (fractional):
Si (0.0000, 0.0000, 0.0000)  4 Ni 2.41, 4 Mo 2.52
Ni (0.0000, 0.5000, 0.2709)  2 Si 2.41, 4 Ni 2.54, 2 Mo 2.68
Mo (0.0000, 0.0000, 0.5000)  4 Si 2.52, 8 Ni 2.68-2.73


DFT (PBE-GGA) results for a relaxed structure of SiNiMo.

Computed properties:
Formation energy from raw total energies ... -34.0 kJ per mole of atoms
Density of states at the Fermi level ... 0.750 states/eV/atom
Excess energy over the best structure of this formula in the dataset ... 111.5 meV per atom
Final energy ... -7.697 eV/atom

Unit cell a=7.6909 b=4.8506 c=8.0860 alpha=90.00 beta=90.00 gamma=90.00
Closest atoms and distances in Å follow each position.
Space group Amm2 (No. 38)
Symmetry-distinct sites (fractional):
Si (0.0000, 0.2442, 0.0000)  2 Ni 2.35-2.37, 4 Si 2.37-2.57
Si (0.2694, 0.0000, 0.3924)  4 Ni 2.27-2.36
Ni (0.0000, 0.0000, 0.2535)  6 Si 2.35-2.37
Ni (0.5000, 0.0000, 0.5674)  2 Si 2.27, 4 Ni 2.29-2.42
Ni (0.5000, 0.2418, 0.8108)  2 Si 2.27, 4 Ni 2.29-2.51
Mo (0.1868, 0.0000, 0.7384)  7 Si 2.71-2.87, 5 Ni 2.74-2.82, 4 Mo 2.76-2.96
Mo (0.3060, 0.0000, 0.0606)  5 Si 2.68-2.79, 4 Mo 2.76-2.98, 7 Ni 2.77-2.85


DFT (PBE-GGA) results for a relaxed structure of SiNi2Mo.

Computed properties:
Formation energy from raw total energies ... -21.0 kJ per mole of atoms
Density of states at the Fermi level ... 0.788 states/eV/atom
Final energy ... -7.172 eV/atom

Unit cell a=2.6712 b=3.2809 c=5.6109 alpha=90.00 beta=90.00 gamma=90.00
Closest atoms and distances in Å follow each position.
Space group Pmm2 (No. 25)
Symmetry-distinct sites (fractional):
Si (0.0000, 0.0000, 0.0000)  5 Ni 2.39-2.48, 2 Si 2.67
Ni (0.0000, 0.0000, 0.5573)  1 Si 2.48, 6 Ni 2.53-2.67, 4 Mo 2.58
Ni (0.5000, 0.5000, 0.8031)  4 Si 2.39, 6 Ni 2.53-2.67
Mo (0.5000, 0.5000, 0.2932)  6 Ni 2.58-2.86, 2 Mo 2.67, 4 Si 2.68